## Ce3Si2GeRh9 (PBE)

Data for Ce3Si2GeRh9 after structural relaxation.

Computed properties:
- Calculated volume: 283 Å³/cell
- Formation energy without anion corrections: -0.61 eV per atom
- Crystal system: trigonal
- Density of states at the Fermi level: 11.77 states/eV/cell
- Magnetization: 0.1 μB per cell

Cell: 5.697 5.697 10.055 Å, 90.00 90.00 120.00°
Each line ends with the local moment (μB).
Positions (direct):
Ce 0.333 0.667 0.659  -0.08
Ce 0.000 0.000 0.000  -0.01
Ce 0.667 0.333 0.341  -0.08
Si 0.333 0.667 0.162  0.00
Si 0.667 0.333 0.838  0.00
Ge 0.000 0.000 0.500  0.00
Rh 0.836 0.164 0.682  0.01
Rh 0.836 0.673 0.682  0.01
Rh 0.327 0.164 0.682  0.01
Rh 0.673 0.836 0.318  0.01
Rh 0.164 0.327 0.318  0.01
Rh 0.164 0.836 0.318  0.01
Rh 0.500 0.000 0.000  0.00
Rh 0.000 0.500 0.000  0.00
Rh 0.500 0.500 0.000  0.00